Entry 1:
The following is a PBE calculation of an optimized crystal structure of Tb2TmPuSe4, from Alexandria.

Size of the total moment, μB per atom: 0.7390
E, eV for the cell shown: -55.6
D(E_F), states/eV/cell: 8.65
Space group: P2/m (10)

```
Tb2TmPuSe4
1.0
-0.5641 -3.9283 0.8890
1.0605 -1.6912 -6.8003
6.2051 -0.1176 3.4178
Se Tm Tb Pu
4 1 2 1
direct
0.0000 0.7546 0.2498
0.5000 0.7561 0.7538
0.5000 0.2439 0.2462
0.0000 0.2454 0.7502
0.0000 0.0000 0.0000
0.0000 0.5000 0.5000
0.5000 0.0000 0.5000
0.5000 0.5000 0.0000
```



Entry 2:
The following is a PBE calculation of an optimized crystal structure of Tb3Tm2PuSe6, from Alexandria.

Size of the total moment, μB per atom: 0.5016
E, eV for the cell shown: -78.7
D(E_F), states/eV/cell: 7.99
Space group: C2/m (12)

```
Tb3Tm2PuSe6
1.0
-3.9041 -0.2065 1.0646
0.9925 -7.8477 2.1177
3.7668 4.5077 6.9771
Se Tb Tm Pu
6 3 2 1
direct
0.3301 0.4209 0.6601
0.9983 0.7465 0.9965
0.3308 0.9103 0.6617
0.6692 0.0897 0.3383
0.0017 0.2535 0.0035
0.6699 0.5791 0.3399
0.8363 0.1649 0.6726
0.5000 0.5000 0.0000
0.1637 0.8351 0.3274
0.8368 0.6725 0.6735
0.1632 0.3275 0.3265
0.5000 0.0000 0.0000
```



Entry 3:
The following is a PBE calculation of an optimized crystal structure of Tb4TmPu3Se8, from Alexandria.

Size of the total moment, μB per atom: 1.0993
E, eV for the cell shown: -121.0
D(E_F), states/eV/cell: 26.29
Space group: R-3m (166)

```
Tb4TmPu3Se8
1.0
-2.1117 6.8210 -3.9940
-6.7753 -3.7329 -2.7930
1.4807 0.2608 8.0423
Se Tb Tm Pu
8 4 1 3
direct
0.7547 0.7500 0.0024
0.7510 0.7530 0.5020
0.7524 0.2500 0.5047
0.7524 0.2500 0.9976
0.2490 0.2470 0.4980
0.2476 0.7500 0.4953
0.2476 0.7500 0.0024
0.2453 0.2500 0.9976
0.0000 0.0000 0.0000
0.5000 0.0000 0.0000
0.0000 0.0000 0.5000
0.5000 0.0000 0.5000
0.0000 0.5000 0.0000
0.5000 0.5000 0.0000
0.5000 0.5000 0.5000
0.0000 0.5000 0.5000
```



Entry 4:
The following is a PBE calculation of an optimized crystal structure of TbPu2USe4, from Alexandria.

Size of the total moment, μB per atom: 1.8087
E, eV for the cell shown: -70.2
D(E_F), states/eV/cell: 23.23
Space group: P2/m (10)

```
TbPu2USe4
1.0
-1.4701 0.2560 3.7885
2.7184 -6.3945 1.4870
4.8894 5.0222 1.5579
Se Pu Tb U
4 2 1 1
direct
0.5000 0.2498 0.2477
0.0000 0.2505 0.7508
0.5000 0.7502 0.7523
0.0000 0.7495 0.2492
0.0000 0.5000 0.5000
0.5000 0.0000 0.5000
0.0000 0.0000 0.0000
0.5000 0.5000 0.0000
```



Entry 5:
The following is a PBE calculation of an optimized crystal structure of TbY3Pu2Se6, from Alexandria.

Size of the total moment, μB per atom: 0.9827
E, eV for the cell shown: -94.2
D(E_F), states/eV/cell: 18.61
Space group: C2/m (12)

```
TbY3Pu2Se6
1.0
7.0941 -0.0033 -0.0001
-3.5482 6.1430 -0.0001
-1.1830 -2.0483 6.7449
Pu Se Y Tb
2 6 3 1
direct
0.6665 0.3335 0.0000
0.3335 0.6665 0.0000
0.7530 0.7530 0.2543
0.9159 0.5839 0.7474
0.5839 0.9159 0.7474
0.4161 0.0841 0.2526
0.2470 0.2470 0.7457
0.0841 0.4161 0.2526
0.1675 0.8325 0.5000
0.5000 0.5000 0.5000
0.8325 0.1675 0.5000
0.0000 0.0000 0.0000
```



Entry 6:
The following is a PBE calculation of an optimized crystal structure of TbY2PuSe4, from Alexandria.

Size of the total moment, μB per atom: 0.7425
E, eV for the cell shown: -59.7
D(E_F), states/eV/cell: 9.03
Space group: P2/m (10)

```
TbY2PuSe4
1.0
4.0848 0.0000 0.0000
0.0000 7.1103 0.1391
0.0000 -2.4682 6.6721
Tb Se Y Pu
1 4 2 1
direct
0.0000 0.0000 0.0000
0.0000 0.7526 0.2531
0.5000 0.7509 0.7480
0.0000 0.2474 0.7469
0.5000 0.2491 0.2520
0.0000 0.5000 0.5000
0.5000 0.0000 0.5000
0.5000 0.5000 0.0000
```



Entry 7:
The following is a PBE calculation of an optimized crystal structure of Tb4Y3PuSe8, from Alexandria.

Size of the total moment, μB per atom: 0.3708
E, eV for the cell shown: -108.2
D(E_F), states/eV/cell: 13.56
Space group: R-3m (166)

```
Tb4Y3PuSe8
1.0
8.1963 0.0000 0.0000
0.0000 8.1952 -0.0061
-4.0981 -4.0938 5.7977
Se Tb Y Pu
8 4 3 1
direct
0.7498 0.7492 0.4995
0.7484 0.7505 0.9995
0.2516 0.2495 0.0005
0.7491 0.2496 0.4982
0.2511 0.7505 0.9995
0.2509 0.7504 0.5018
0.7489 0.2495 0.0005
0.2502 0.2508 0.5005
0.0000 0.0000 0.5000
0.0000 0.0000 0.0000
0.5000 0.0000 0.0000
0.5000 0.0000 0.5000
0.0000 0.5000 0.5000
0.5000 0.5000 0.5000
0.5000 0.5000 0.0000
0.0000 0.5000 0.0000
```



Entry 8:
The following is a PBE calculation of an optimized crystal structure of Tb3Y2PuSe6, from Alexandria.

Size of the total moment, μB per atom: 0.5024
E, eV for the cell shown: -83.1
D(E_F), states/eV/cell: 8.75
Space group: C2/m (12)

```
Tb3Y2PuSe6
1.0
-0.9288 1.0091 3.8435
-7.9382 -1.5610 -1.5085
3.6117 -8.3782 0.9059
Se Pu Y Tb
6 1 2 3
direct
0.3318 0.4172 0.6635
0.6682 0.5828 0.3365
0.3316 0.9152 0.6632
0.0002 0.7475 0.0004
0.6684 0.0848 0.3368
0.9998 0.2525 0.9996
0.5000 0.0000 0.0000
0.1637 0.3283 0.3274
0.8363 0.6717 0.6726
0.8348 0.1648 0.6697
0.5000 0.5000 0.0000
0.1652 0.8352 0.3303
```



Entry 9:
The following is a PBE calculation of an optimized crystal structure of Tb2YPuSe4, from Alexandria.

Size of the total moment, μB per atom: 0.7413
E, eV for the cell shown: -57.9
D(E_F), states/eV/cell: 8.74
Space group: P2/m (10)

```
Tb2YPuSe4
1.0
4.0871 0.0000 0.0000
0.0000 7.1156 0.1398
0.0000 -2.4691 6.6730
Se Tb Pu Y
4 2 1 1
direct
0.5000 0.7516 0.7494
0.5000 0.2484 0.2506
0.0000 0.2475 0.7480
0.0000 0.7525 0.2520
0.5000 0.0000 0.5000
0.0000 0.5000 0.5000
0.5000 0.5000 0.0000
0.0000 0.0000 0.0000
```



Entry 10:
The following is a PBE calculation of an optimized crystal structure of Tb2YPu3Se6, from Alexandria.

Size of the total moment, μB per atom: 0.4787
E, eV for the cell shown: -97.9
D(E_F), states/eV/cell: 31.22
Space group: C2/m (12)

```
Tb2YPu3Se6
1.0
3.9700 0.0000 0.0000
0.0000 7.1106 -1.2344
-1.9850 -3.0547 11.3543
Pu Se Y Tb
3 6 1 2
direct
0.6692 0.8267 0.3384
0.5000 0.5000 0.0000
0.3308 0.1733 0.6616
0.7538 0.2574 0.5076
0.6006 0.3845 0.2012
0.3994 0.6155 0.7988
0.2462 0.7426 0.4924
0.9290 0.1438 0.8579
0.0710 0.8562 0.1421
0.5000 0.0000 0.0000
0.8280 0.7002 0.6560
0.1720 0.2998 0.3440
```



Entry 11:
The following is a PBE calculation of an optimized crystal structure of TbY2Pu3Se6, from Alexandria.

Size of the total moment, μB per atom: 1.4650
E, eV for the cell shown: -101.6
D(E_F), states/eV/cell: 26.59
Space group: C2/m (12)

```
TbY2Pu3Se6
1.0
-2.8259 2.9256 -0.5068
-0.4360 -1.8159 -8.0510
-4.7803 -6.7926 4.0194
Y Se Pu Tb
2 6 3 1
direct
0.8334 0.6670 0.6668
0.1666 0.3330 0.3332
0.6677 0.5807 0.3353
0.3323 0.4193 0.6647
0.0011 0.2482 0.0021
0.6660 0.0858 0.3320
0.3340 0.9142 0.6680
0.9989 0.7518 0.9979
0.1665 0.8332 0.3329
0.8335 0.1668 0.6671
0.5000 0.5000 0.0000
0.5000 0.0000 0.0000
```



Entry 12:
The following is a PBE calculation of an optimized crystal structure of TbPu2ZrSe4, from Alexandria.

Size of the total moment, μB per atom: 1.4184
E, eV for the cell shown: -67.8
D(E_F), states/eV/cell: 16.88
Space group: P2/m (10)

```
TbPu2ZrSe4
1.0
4.0345 0.0000 0.0000
0.0000 6.9992 0.1277
0.0000 -2.4406 6.6291
Se Pu Zr Tb
4 2 1 1
direct
0.5000 0.7466 0.7568
0.0000 0.7406 0.2396
0.0000 0.2594 0.7604
0.5000 0.2534 0.2432
0.5000 0.0000 0.5000
0.0000 0.5000 0.5000
0.5000 0.5000 0.0000
0.0000 0.0000 0.0000
```